# 1
A plane-wave DFT calculation with GGA+U was carried out for crystalline CdGe2WO8 at its relaxed geometry.

a b c (Å): 5.7243 5.7243 5.7243
angles (deg): 107.20 107.20 114.11
With the nearest neighbours (Å) after each atom.
Fractional positions:
Cd (0.0000, 0.0000, 0.0000)  8 O 2.23-2.46
Ge (0.2500, 0.7500, 0.5000)  4 O 1.77
Ge (0.5000, 0.5000, 0.0000)  4 O 1.78
W (0.7500, 0.2500, 0.5000)  8 O 2.05-2.15
O (0.0385, 0.3641, 0.3256)  1 Ge 1.77
O (0.0385, 0.7129, 0.6744)  1 Ge 1.77
O (0.1178, 0.3241, 0.7937)  1 Ge 1.78
O (0.2871, 0.9615, 0.3256)  1 Ge 1.77
O (0.5303, 0.3241, 0.2063)  1 Ge 1.78
O (0.6358, 0.9615, 0.6744)  1 Ge 1.77
O (0.6759, 0.4697, 0.7937)  1 Ge 1.78
O (0.6759, 0.8822, 0.2063)  1 Ge 1.78

Computed properties:
* E_tot: -6.22 eV per atom



# 2
A plane-wave DFT calculation with GGA+U was carried out for crystalline CdGeWO6 at its relaxed geometry.

a b c (Å): 4.7931 4.7931 9.2858
angles (deg): 90.00 90.00 90.00
With the nearest neighbours (Å) after each atom.
Fractional positions:
Cd (0.0000, 0.0000, 0.0000)  6 O 2.22-2.35
Cd (0.5000, 0.5000, 0.5000)  6 O 2.22-2.35
Ge (0.0000, 0.0000, 0.3307)  6 O 1.92-1.94
Ge (0.5000, 0.5000, 0.8307)  6 O 1.92-1.94
W (0.0000, 0.0000, 0.6701)  6 O 1.93-1.99
W (0.5000, 0.5000, 0.1701)  6 O 1.93-1.99
O (0.1723, 0.1723, 0.4960)  1 Ge 1.93, 1 W 1.99
O (0.2118, 0.2118, 0.1896)  1 Ge 1.94, 1 W 1.96
O (0.2186, 0.2186, 0.8034)  1 Ge 1.92, 1 W 1.93
O (0.2814, 0.7186, 0.3034)  1 Ge 1.92, 1 W 1.93
O (0.2882, 0.7118, 0.6896)  1 Ge 1.94, 1 W 1.96
O (0.3277, 0.6723, 0.9960)  1 Ge 1.93, 1 W 1.99
O (0.6723, 0.3277, 0.9960)  1 Ge 1.93, 1 W 1.99
O (0.7118, 0.2882, 0.6896)  1 Ge 1.94, 1 W 1.96
O (0.7186, 0.2814, 0.3034)  1 Ge 1.92, 1 W 1.93
O (0.7814, 0.7814, 0.8034)  1 Ge 1.92, 1 W 1.93
O (0.7882, 0.7882, 0.1896)  1 Ge 1.94, 1 W 1.96
O (0.8277, 0.8277, 0.4960)  1 Ge 1.93, 1 W 1.99

Computed properties:
* E_tot: -6.32 eV per atom